{"formula": "TlCd6Hg", "functional": "GGA-PBE", "state": "relaxed", "cell": [[4.574, 0.000, 0.000], [0.000, 4.574, 0.000], [0.000, 0.000, 9.137]], "species": ["Tl", "Cd", "Cd", "Cd", "Cd", "Cd", "Cd", "Hg"], "frac_coords": [[0.000, 0.000, 0.000], [0.000, 0.500, 0.259], [0.000, 0.500, 0.741], [0.500, 0.000, 0.259], [0.500, 0.000, 0.741], [0.500, 0.500, 0.000], [0.500, 0.500, 0.500], [0.000, 0.000, 0.500]], "spacegroup": "No. 123", "formation_energy_mev_per_atom": 48, "n_ef_per_ev_cell": 3.36, "polymorph_energy_mev_per_atom": 9.8, "energy_ev_per_atom": -0.972}

=====

{"formula": "TlCdHg2", "functional": "GGA-PBE", "state": "relaxed", "cell": [[3.867, 0.000, 0.000], [0.000, 5.278, 0.000], [0.000, 0.000, 10.615]], "species": ["Tl", "Tl", "Cd", "Cd", "Hg", "Hg", "Hg", "Hg"], "frac_coords": [[0.000, 0.000, 0.000], [0.500, 0.500, 0.500], [0.000, 0.500, 0.756], [0.500, 0.000, 0.256], [0.000, 0.000, 0.491], [0.000, 0.500, 0.238], [0.500, 0.000, 0.738], [0.500, 0.500, 0.991]], "spacegroup": "No. 44", "formation_energy_mev_per_atom": 12, "n_ef_per_ev_cell": 2.23, "polymorph_energy_mev_per_atom": 18.9, "energy_ev_per_atom": -0.960}

=====

{"formula": "TlCdHg2", "functional": "GGA-PBE", "state": "relaxed", "cell": [[3.261, 0.000, 0.000], [0.000, 5.685, 0.000], [0.000, 0.000, 12.250]], "species": ["Tl", "Tl", "Cd", "Cd", "Hg", "Hg", "Hg", "Hg"], "frac_coords": [[0.000, 0.000, 0.000], [0.500, 0.500, 0.500], [0.000, 0.000, 0.500], [0.500, 0.500, 0.000], [0.000, 0.000, 0.257], [0.000, 0.000, 0.743], [0.500, 0.500, 0.243], [0.500, 0.500, 0.757]], "spacegroup": "No. 71", "formation_energy_mev_per_atom": 36, "n_ef_per_ev_cell": 2.64, "polymorph_energy_mev_per_atom": 43.2, "energy_ev_per_atom": -0.935}

=====

{"formula": "Tl2CdHg", "functional": "GGA-PBE", "state": "relaxed", "cell": [[7.668, 0.000, 0.000], [0.000, 7.668, 0.000], [0.000, 0.000, 7.668]], "species": ["Tl", "Tl", "Tl", "Tl", "Tl", "Tl", "Tl", "Tl", "Cd", "Cd", "Cd", "Cd", "Hg", "Hg", "Hg", "Hg"], "frac_coords": [[0.000, 0.000, 0.000], [0.000, 0.500, 0.500], [0.250, 0.250, 0.250], [0.250, 0.750, 0.750], [0.500, 0.000, 0.500], [0.500, 0.500, 0.000], [0.750, 0.250, 0.750], [0.750, 0.750, 0.250], [0.250, 0.250, 0.750], [0.250, 0.750, 0.250], [0.750, 0.250, 0.250], [0.750, 0.750, 0.750], [0.000, 0.000, 0.500], [0.000, 0.500, 0.000], [0.500, 0.000, 0.000], [0.500, 0.500, 0.500]], "spacegroup": "No. 216", "formation_energy_mev_per_atom": 73, "n_ef_per_ev_cell": 8.26, "polymorph_energy_mev_per_atom": 60.4, "energy_ev_per_atom": -1.415}